This record from the Alexandria database describes a relaxed structure of Pr6Co2OsBr3. The functional is GGA-PBE.

Values from the calculation:
The formation energy (no corrections) is -0.690 eV/atom. The calculation puts the total magnetic moment at 0.0 μB/f.u.

```
Pr6Co2OsBr3
1.0
9.838 -2.032 0.000
9.838 2.032 0.000
-3.584 0.000 8.477
Pr Co Os Br
6 2 1 3
direct
0.013 0.013 0.225
0.320 0.320 0.447
0.344 0.344 0.882
0.656 0.656 0.118
0.680 0.680 0.553
0.987 0.987 0.775
0.170 0.170 0.340
0.830 0.830 0.660
0.500 0.500 0.000
0.166 0.166 0.834
0.500 0.500 0.500
0.834 0.834 0.166
```